Below is an optimized crystal structure of YBAsBr2, with properties calculated at the PBE-GGA level.

formation energy without anion corrections = 0.24 eV per formula unit
symmetry = P4/mmm
polymorph energy (0 for the lowest one) = 0 meV per atom

The structure in extended XYZ format:
```
5
Lattice="4.586 0.000 0.000 0.000 4.586 0.000 0.000 0.000 4.952" Properties=species:S:1:pos:R:3 pbc="T T T"
Y 0.000 0.000 0.000
B 2.293 2.293 2.476
As 2.293 2.293 0.000
Br 0.000 2.293 2.476
Br 2.293 0.000 2.476
```

***

Below is an optimized crystal structure of NaLaSiO4, with properties calculated at the PBE-GGA level.

formation energy without anion corrections = -20.42 eV per formula unit
symmetry = Pnma
polymorph energy (0 for the lowest one) = 8 meV per atom

The structure in extended XYZ format:
```
28
Lattice="7.129 0.000 0.000 0.000 5.544 0.000 0.000 0.000 9.661" Properties=species:S:1:pos:R:3 pbc="T T T"
Na 1.179 1.386 0.561
Na 2.386 4.158 5.392
Na 4.743 1.386 4.270
Na 5.950 4.158 9.100
La 0.040 1.386 6.709
La 3.525 4.158 1.878
La 3.604 1.386 7.783
La 7.089 4.158 2.952
Si 1.605 1.386 4.002
Si 1.960 4.158 8.833
Si 5.169 1.386 0.828
Si 5.524 4.158 5.659
O 0.030 4.158 5.458
O 1.255 4.158 0.670
O 1.527 2.802 8.016
O 1.527 5.515 8.016
O 2.038 0.030 3.186
O 2.038 2.742 3.186
O 2.310 1.386 5.501
O 3.534 1.386 0.628
O 3.595 4.158 9.033
O 4.819 4.158 4.161
O 5.091 2.802 6.476
O 5.091 5.515 6.476
O 5.602 0.030 1.645
O 5.602 2.742 1.645
O 5.874 1.386 8.991
O 7.099 1.386 4.203
```

***

Below is an optimized crystal structure of RuPt3Se, with properties calculated at the PBE-GGA level.

formation energy without anion corrections = 5.22 eV per formula unit
symmetry = Pm-3m
polymorph energy (0 for the lowest one) = 0 meV per atom

The structure in extended XYZ format:
```
5
Lattice="4.651 0.000 0.000 0.000 4.651 0.000 0.000 0.000 4.651" Properties=species:S:1:pos:R:3 pbc="T T T"
Ru 0.000 0.000 0.000
Pt 0.000 2.325 2.325
Pt 2.325 0.000 2.325
Pt 2.325 2.325 0.000
Se 2.325 2.325 2.325
```

***

Below is an optimized crystal structure of MgIr2Ru, with properties calculated at the PBE-GGA level.

energy of formation = -0.0834 eV per atom
symmetry = C2/m

The structure in extended XYZ format:
```
8
Lattice="9.150 0.000 0.000 0.000 2.751 0.000 -0.756 0.000 4.682" Properties=species:S:1:pos:R:3 pbc="T T T"
Mg 0.000 0.000 0.000
Mg 4.575 1.375 0.000
Ir 1.663 0.000 3.483
Ir 2.156 1.375 1.199
Ir 6.238 1.375 3.483
Ir 6.731 0.000 1.199
Ru -0.378 1.375 2.341
Ru 4.197 0.000 2.341
```

***

| no. | total DFT energy (no corrections) (Ha/atom) |
| --- | --- |
| 1 | -0.154 |
| 2 | -0.273 |
| 3 | -0.189 |
| 4 | -0.266 |